Entry 1:
SmTlZnCu: optimized geometry, GGA-PBE.

Cell lengths 4.893, 4.893, 4.893 Å; angles 60.00, 60.00, 60.00 degrees
Fractional coordinates of all 4 atoms:
Tl1 0.500 0.500 0.500
Cu1 0.250 0.250 0.250
Zn1 0.750 0.750 0.750
Sm1 0.000 0.000 0.000

## Properties
- Total magnetic moment: 0.00 μB/f.u.
- D(E_F): 2.2 states/eV per cell

=====

Entry 2:
SmZrTlCu: optimized geometry, GGA-PBE.

Cell lengths 5.082, 5.082, 5.082 Å; angles 60.00, 60.00, 60.00 degrees
Site moments in Bohr magnetons follow the coordinates.
Fractional coordinates of all 4 atoms:
Tl1 0.250 0.250 0.250  -0.01
Cu1 0.750 0.750 0.750  0.03
Zr1 0.500 0.500 0.500  0.33
Sm1 0.000 0.000 0.000  0.12

## Properties
- Total magnetic moment: 0.76 μB/f.u.
- D(E_F): 3.7 states/eV per cell

=====

Entry 3:
SmTm3Cu2: optimized geometry, GGA-PBE.

Cell lengths 3.447, 3.447, 12.077 Å; angles 90.00, 90.00, 90.00 degrees
Fractional coordinates of all 6 atoms:
Sm1 0.500 0.500 0.500
Tm1 0.000 0.000 0.000
Tm2 0.000 0.000 0.720
Tm3 0.000 0.000 0.280
Cu1 0.500 0.500 0.858
Cu2 0.500 0.500 0.142

## Properties
- Relative energy among the computed polymorphs: 0.00 kJ/mol of atoms
- Total magnetic moment: 0.00 μB/f.u.
- D(E_F): 5.6 states/eV per cell

=====

Entry 4:
SmTmCu3: optimized geometry, GGA-PBE.

Cell lengths 4.295, 3.673, 12.770 Å; angles 98.27, 90.00, 90.00 degrees
Fractional coordinates of all 10 atoms:
Sm1 0.250 0.073 0.145
Sm2 0.750 0.927 0.855
Tm1 0.250 0.795 0.589
Tm2 0.750 0.205 0.411
Cu1 0.250 0.379 0.759
Cu2 0.750 0.621 0.241
Cu3 0.250 0.476 0.952
Cu4 0.750 0.524 0.048
Cu5 0.750 0.325 0.650
Cu6 0.250 0.675 0.350

## Properties
- Total magnetic moment: 0.00 μB/f.u.
- D(E_F): 6.8 states/eV per cell

=====

no.,DFT formation energy (meV/atom)
1,-181
2,-38
3,-178
4,-245